(1)
Below is crystalline ZrSc2 at its relaxed geometry, with properties calculated at the PBEsol level.

```
data_ZrSc2
_cell_length_a 8.6091
_cell_length_b 8.6091
_cell_length_c 3.1750
_cell_angle_alpha 90.00
_cell_angle_beta 90.00
_cell_angle_gamma 120.00
_symmetry_space_group_name_H-M 'P -6 2 m'
_symmetry_Int_Tables_number 189
_symmetry_space_group_name_Hall 'P -6 -2'
loop_
_atom_site_label
_atom_site_type_symbol
_atom_site_fract_x
_atom_site_fract_y
_atom_site_fract_z
Zr1 Zr 0.0000 0.0000 0.0000
Zr2 Zr 0.3333 0.6667 0.5000
Sc1 Sc 0.0000 0.3560 0.0000
Sc2 Sc 0.0000 0.6930 0.5000
```

Properties
V (A^3/atom): 22.644
Formation enthalpy at 0 K (kcal/mol of atoms): 0.64

---

(2)
Below is crystalline ZrSc2 at its relaxed geometry, with properties calculated at the PBEsol level.

```
data_ZrSc2
_cell_length_a 4.487
_cell_length_b 4.487
_cell_length_c 27.072
_cell_angle_alpha 90.00
_cell_angle_beta 90.00
_cell_angle_gamma 90.00
_symmetry_space_group_name_H-M 'I 41/a m d'
_symmetry_Int_Tables_number 141
loop_
_symmetry_equiv_pos_as_xyz
'x,y,z'
'-x,-y,-z'
'-y+1/4,x+3/4,z+1/4'
'y+1/4,-x+3/4,-z+1/4'
'-x+1/2,-y,z+1/2'
'x+1/2,y,-z+1/2'
'y+1/4,-x+1/4,z+3/4'
'-y+1/4,x+1/4,-z+3/4'
'x,-y,-z'
'-x,y,z'
'-y+1/4,-x+1/4,-z+3/4'
'y+1/4,x+1/4,z+3/4'
'-x+1/2,y,-z+1/2'
'x+1/2,-y,z+1/2'
'y+1/4,x+3/4,-z+1/4'
'-y+1/4,-x+3/4,z+1/4'
'x+1/2,y+1/2,z+1/2'
'-x+1/2,-y+1/2,-z+1/2'
'-y+3/4,x+1/4,z+3/4'
'y+3/4,-x+1/4,-z+3/4'
'-x,-y+1/2,z'
'x,y+1/2,-z'
'y+3/4,-x+3/4,z+1/4'
'-y+3/4,x+3/4,-z+1/4'
'x+1/2,-y+1/2,-z+1/2'
'-x+1/2,y+1/2,z+1/2'
'-y+3/4,-x+3/4,-z+1/4'
'y+3/4,x+3/4,z+1/4'
'-x,y+1/2,-z'
'x,-y+1/2,z'
'y+3/4,x+1/4,-z+3/4'
'-y+3/4,-x+1/4,z+3/4'
loop_
_atom_site_label
_atom_site_type_symbol
_atom_site_fract_x
_atom_site_fract_y
_atom_site_fract_z
Zr1 Zr 0.000 0.250 0.289
Sc1 Sc 0.000 0.250 0.125
Sc2 Sc 0.000 0.250 0.791
```

Properties
V (A^3/atom): 22.706
Formation enthalpy at 0 K (kcal/mol of atoms): 0.56

---

(3)
Below is crystalline ZrSc3 at its relaxed geometry, with properties calculated at the PBEsol level.

```
data_ZrSc3
_cell_length_a 6.365
_cell_length_b 9.040
_cell_length_c 3.163
_cell_angle_alpha 90.00
_cell_angle_beta 90.00
_cell_angle_gamma 90.00
_symmetry_space_group_name_H-M 'C m m m'
_symmetry_Int_Tables_number 65
_symmetry_space_group_name_Hall '-C 2 2'
loop_
_atom_site_label
_atom_site_type_symbol
_atom_site_fract_x
_atom_site_fract_y
_atom_site_fract_z
Zr1 Zr 0.000 0.000 0.000
Sc1 Sc 0.000 0.500 0.000
Sc2 Sc 0.250 0.250 0.500
```

Properties
V (A^3/atom): 22.751
Formation enthalpy at 0 K (kcal/mol of atoms): 0.86
Energy above the most stable polymorph in this dataset (meV per atom): 41

---

(4)
Below is crystalline Zr3Sc at its relaxed geometry, with properties calculated at the PBEsol level.

```
data_Zr3Sc
_cell_length_a 10.466
_cell_length_b 3.143
_cell_length_c 5.485
_cell_angle_alpha 90.00
_cell_angle_beta 99.77
_cell_angle_gamma 90.00
_symmetry_space_group_name_H-M 'C 1 2/m 1'
_symmetry_Int_Tables_number 12
loop_
_symmetry_equiv_pos_as_xyz
'x,y,z'
'-x,-y,-z'
'-x,y,-z'
'x,-y,z'
'x+1/2,y+1/2,z'
'-x+1/2,-y+1/2,-z'
'-x+1/2,y+1/2,-z'
'x+1/2,-y+1/2,z'
loop_
_atom_site_label
_atom_site_type_symbol
_atom_site_fract_x
_atom_site_fract_y
_atom_site_fract_z
Zr1 Zr 0.000 0.000 0.000
Zr2 Zr 0.249 0.500 0.251
Sc1 Sc 0.000 0.500 0.500
```

Properties
V (A^3/atom): 22.230
Formation enthalpy at 0 K (kcal/mol of atoms): 0.80
Energy above the most stable polymorph in this dataset (meV per atom): 44

---

(5)
Below is crystalline Se at its relaxed geometry, with properties calculated at the PBEsol level.

```
data_Se
_cell_length_a 3.5619
_cell_length_b 3.5619
_cell_length_c 3.8156
_cell_angle_alpha 90.00
_cell_angle_beta 90.00
_cell_angle_gamma 120.00
_symmetry_space_group_name_H-M 'P 63/m m c'
_symmetry_Int_Tables_number 194
_symmetry_space_group_name_Hall '-P 6c 2c'
loop_
_atom_site_label
_atom_site_type_symbol
_atom_site_fract_x
_atom_site_fract_y
_atom_site_fract_z
Se1 Se 0.3333 0.6667 0.2500
```

Properties
V (A^3/atom): 20.962
Energy above the most stable polymorph in this dataset (meV per atom): 274

---

(6)
Below is crystalline Se at its relaxed geometry, with properties calculated at the PBEsol level.

```
data_Se
_cell_length_a 7.186
_cell_length_b 3.736
_cell_length_c 5.172
_cell_angle_alpha 90.00
_cell_angle_beta 90.63
_cell_angle_gamma 90.00
_symmetry_space_group_name_H-M 'C 1 2/m 1'
_symmetry_Int_Tables_number 12
loop_
_symmetry_equiv_pos_as_xyz
'x,y,z'
'-x,-y,-z'
'-x,y,-z'
'x,-y,z'
'x+1/2,y+1/2,z'
'-x+1/2,-y+1/2,-z'
'-x+1/2,y+1/2,-z'
'x+1/2,-y+1/2,z'
loop_
_atom_site_label
_atom_site_type_symbol
_atom_site_fract_x
_atom_site_fract_y
_atom_site_fract_z
Se1 Se 0.000 0.000 0.000
Se2 Se 0.119 0.500 0.668
```

Properties
V (A^3/atom): 23.142
Energy above the most stable polymorph in this dataset (meV per atom): 44

---

(7)
Below is crystalline Se at its relaxed geometry, with properties calculated at the PBEsol level.

```
data_Se
_cell_length_a 2.601
_cell_length_b 2.601
_cell_length_c 7.371
_cell_angle_alpha 90.00
_cell_angle_beta 90.00
_cell_angle_gamma 90.00
_symmetry_space_group_name_H-M 'I 4/m m m'
_symmetry_Int_Tables_number 139
_symmetry_space_group_name_Hall '-I 4 2'
loop_
_atom_site_label
_atom_site_type_symbol
_atom_site_fract_x
_atom_site_fract_y
_atom_site_fract_z
Se1 Se 0.000 0.000 0.000
```

Properties
V (A^3/atom): 24.927
Energy above the most stable polymorph in this dataset (meV per atom): 201

---

(8)
Below is crystalline Se at its relaxed geometry, with properties calculated at the PBEsol level.

```
data_Se
_cell_length_a 10.6821
_cell_length_b 10.6821
_cell_length_c 4.5453
_cell_angle_alpha 90.00
_cell_angle_beta 90.00
_cell_angle_gamma 120.00
_symmetry_space_group_name_H-M 'R -3'
_symmetry_Int_Tables_number 148
_symmetry_space_group_name_Hall '-R 3'
loop_
_atom_site_label
_atom_site_type_symbol
_atom_site_fract_x
_atom_site_fract_y
_atom_site_fract_z
Se1 Se 0.0408 0.2181 0.1282
```

Properties
V (A^3/atom): 24.953
Energy above the most stable polymorph in this dataset (meV per atom): 35

---

(9)
Below is crystalline Se at its relaxed geometry, with properties calculated at the PBEsol level.

```
data_Se
_cell_length_a 3.724
_cell_length_b 2.729
_cell_length_c 5.133
_cell_angle_alpha 90.00
_cell_angle_beta 111.06
_cell_angle_gamma 90.00
_symmetry_space_group_name_H-M 'P 1 2/m 1'
_symmetry_Int_Tables_number 10
loop_
_symmetry_equiv_pos_as_xyz
'x,y,z'
'-x,-y,-z'
'-x,y,-z'
'x,-y,z'
loop_
_atom_site_label
_atom_site_type_symbol
_atom_site_fract_x
_atom_site_fract_y
_atom_site_fract_z
Se1 Se 0.125 0.000 0.249
```

Properties
V (A^3/atom): 24.340
Energy above the most stable polymorph in this dataset (meV per atom): 128

---

(10)
Below is crystalline Se at its relaxed geometry, with properties calculated at the PBEsol level.

```
data_Se
_cell_length_a 9.429
_cell_length_b 9.429
_cell_length_c 4.403
_cell_angle_alpha 90.00
_cell_angle_beta 90.00
_cell_angle_gamma 90.00
_symmetry_space_group_name_H-M 'P 4 m m'
_symmetry_Int_Tables_number 99
loop_
_symmetry_equiv_pos_as_xyz
'x,y,z'
'-y,x,z'
'-x,-y,z'
'y,-x,z'
'-x,y,z'
'y,x,z'
'x,-y,z'
'-y,-x,z'
loop_
_atom_site_label
_atom_site_type_symbol
_atom_site_fract_x
_atom_site_fract_y
_atom_site_fract_z
Se1 Se 0.000 0.285 0.000
Se2 Se 0.201 0.201 0.745
```

Properties
V (A^3/atom): 48.938
Energy above the most stable polymorph in this dataset (meV per atom): 126

---

(11)
Below is crystalline Se at its relaxed geometry, with properties calculated at the PBEsol level.

```
data_Se
_cell_length_a 4.251
_cell_length_b 4.251
_cell_length_c 4.251
_cell_angle_alpha 90.00
_cell_angle_beta 90.00
_cell_angle_gamma 90.00
_symmetry_space_group_name_H-M 'F m -3 m'
_symmetry_Int_Tables_number 225
_symmetry_space_group_name_Hall '-F 4 2 3'
loop_
_atom_site_label
_atom_site_type_symbol
_atom_site_fract_x
_atom_site_fract_y
_atom_site_fract_z
Se1 Se 0.000 0.000 0.000
```

Properties
V (A^3/atom): 19.211
Energy above the most stable polymorph in this dataset (meV per atom): 593

---

(12)
Below is crystalline Se at its relaxed geometry, with properties calculated at the PBEsol level.

```
data_Se
_cell_length_a 4.0216
_cell_length_b 4.0216
_cell_length_c 5.1350
_cell_angle_alpha 90.00
_cell_angle_beta 90.00
_cell_angle_gamma 120.00
_symmetry_space_group_name_H-M 'P 31 2 1'
_symmetry_Int_Tables_number 152
loop_
_symmetry_equiv_pos_as_xyz
'x,y,z'
'-y,x-y,z+1/3'
'-x+y,-x,z+2/3'
'y,x,-z'
'x-y,-y,-z+2/3'
'-x,-x+y,-z+1/3'
loop_
_atom_site_label
_atom_site_type_symbol
_atom_site_fract_x
_atom_site_fract_y
_atom_site_fract_z
Se1 Se 0.0000 0.7494 0.1667
```

Properties
V (A^3/atom): 23.974
Energy above the most stable polymorph in this dataset (meV per atom): 0

---

(13)
Below is crystalline Se at its relaxed geometry, with properties calculated at the PBEsol level.

```
data_Se
_cell_length_a 8.874
_cell_length_b 8.874
_cell_length_c 14.313
_cell_angle_alpha 90.00
_cell_angle_beta 126.81
_cell_angle_gamma 90.00
_symmetry_space_group_name_H-M 'P 1 21/c 1'
_symmetry_Int_Tables_number 14
loop_
_symmetry_equiv_pos_as_xyz
'x,y,z'
'-x,-y,-z'
'-x,y+1/2,-z+1/2'
'x,-y+1/2,z+1/2'
loop_
_atom_site_label
_atom_site_type_symbol
_atom_site_fract_x
_atom_site_fract_y
_atom_site_fract_z
Se1 Se 0.007 0.111 0.373
Se2 Se 0.077 0.153 0.138
Se3 Se 0.103 0.518 0.773
Se4 Se 0.220 0.631 0.545
Se5 Se 0.302 0.517 0.220
Se6 Se 0.387 0.185 0.978
Se7 Se 0.426 0.681 0.061
Se8 Se 0.492 0.729 0.327
```

Properties
V (A^3/atom): 28.200
Energy above the most stable polymorph in this dataset (meV per atom): 63

---

(14)
Below is crystalline SiSe3 at its relaxed geometry, with properties calculated at the PBEsol level.

```
data_SiSe3
_cell_length_a 3.632
_cell_length_b 5.254
_cell_length_c 8.318
_cell_angle_alpha 90.00
_cell_angle_beta 90.00
_cell_angle_gamma 90.00
_symmetry_space_group_name_H-M 'P m m n'
_symmetry_Int_Tables_number 59
loop_
_symmetry_equiv_pos_as_xyz
'x,y,z'
'-x,-y,-z'
'-x+1/2,-y+1/2,z'
'x+1/2,y+1/2,-z'
'x+1/2,-y,-z'
'-x+1/2,y,z'
'-x,y+1/2,-z'
'x,-y+1/2,z'
loop_
_atom_site_label
_atom_site_type_symbol
_atom_site_fract_x
_atom_site_fract_y
_atom_site_fract_z
Si1 Si 0.250 0.250 0.143
Se1 Se 0.250 0.507 0.631
Se2 Se 0.250 0.750 0.060
```

Properties
V (A^3/atom): 19.842
Energy (Ry/atom): -0.3089

---

(15)
Below is crystalline SiSe2 at its relaxed geometry, with properties calculated at the PBEsol level.

```
data_SiSe2
_cell_length_a 5.906
_cell_length_b 5.906
_cell_length_c 3.594
_cell_angle_alpha 90.00
_cell_angle_beta 90.00
_cell_angle_gamma 90.00
_symmetry_space_group_name_H-M 'P 42/m n m'
_symmetry_Int_Tables_number 136
_symmetry_space_group_name_Hall '-P 4n 2n'
loop_
_atom_site_label
_atom_site_type_symbol
_atom_site_fract_x
_atom_site_fract_y
_atom_site_fract_z
Si1 Si 0.000 0.000 0.000
Se1 Se 0.193 0.193 0.500
```

Properties
V (A^3/atom): 20.892
Energy (Ry/atom): -0.3384

---

(16)
Below is crystalline SiSe2 at its relaxed geometry, with properties calculated at the PBEsol level.

```
data_SiSe2
_cell_length_a 7.6700
_cell_length_b 7.6700
_cell_length_c 3.3970
_cell_angle_alpha 90.00
_cell_angle_beta 90.00
_cell_angle_gamma 120.00
_symmetry_space_group_name_H-M 'P -6 2 m'
_symmetry_Int_Tables_number 189
_symmetry_space_group_name_Hall 'P -6 -2'
loop_
_atom_site_label
_atom_site_type_symbol
_atom_site_fract_x
_atom_site_fract_y
_atom_site_fract_z
Si1 Si 0.0000 0.0000 0.0000
Si2 Si 0.3333 0.6667 0.5000
Se1 Se 0.0000 0.4673 0.0000
Se2 Se 0.0000 0.7606 0.5000
```

Properties
V (A^3/atom): 19.230
Energy (Ry/atom): -0.3156

---

(17)
Below is crystalline SiSe3 at its relaxed geometry, with properties calculated at the PBEsol level.

```
data_SiSe3
_cell_length_a 3.6736
_cell_length_b 3.6736
_cell_length_c 20.2099
_cell_angle_alpha 90.00
_cell_angle_beta 90.00
_cell_angle_gamma 120.00
_symmetry_space_group_name_H-M 'R -3 m'
_symmetry_Int_Tables_number 166
_symmetry_space_group_name_Hall '-R 3 2"'
loop_
_atom_site_label
_atom_site_type_symbol
_atom_site_fract_x
_atom_site_fract_y
_atom_site_fract_z
Si1 Si 0.0000 0.0000 0.0000
Se1 Se 0.0000 0.0000 0.2613
Se2 Se 0.0000 0.0000 0.5000
```

Properties
V (A^3/atom): 19.684
Energy (Ry/atom): -0.3157

---

(18)
Below is crystalline SiSe2 at its relaxed geometry, with properties calculated at the PBEsol level.

```
data_SiSe2
_cell_length_a 6.261
_cell_length_b 9.270
_cell_length_c 5.856
_cell_angle_alpha 90.00
_cell_angle_beta 90.00
_cell_angle_gamma 90.00
_symmetry_space_group_name_H-M 'I b a m'
_symmetry_Int_Tables_number 72
_symmetry_space_group_name_Hall '-I 2 2c'
loop_
_atom_site_label
_atom_site_type_symbol
_atom_site_fract_x
_atom_site_fract_y
_atom_site_fract_z
Si1 Si 0.000 0.000 0.250
Se1 Se 0.207 0.129 0.000
```

Properties
V (A^3/atom): 28.323
Energy (Ry/atom): -0.3590

---

(19)
Below is crystalline SiSe2 at its relaxed geometry, with properties calculated at the PBEsol level.

```
data_SiSe2
_cell_length_a 3.4638
_cell_length_b 3.4638
_cell_length_c 14.1761
_cell_angle_alpha 90.00
_cell_angle_beta 90.00
_cell_angle_gamma 120.00
_symmetry_space_group_name_H-M 'P 63/m m c'
_symmetry_Int_Tables_number 194
_symmetry_space_group_name_Hall '-P 6c 2c'
loop_
_atom_site_label
_atom_site_type_symbol
_atom_site_fract_x
_atom_site_fract_y
_atom_site_fract_z
Si1 Si 0.0000 0.0000 0.0000
Se1 Se 0.3333 0.6667 0.1011
```

Properties
V (A^3/atom): 24.549
Energy (Ry/atom): -0.3566

---

(20)
Below is crystalline Si4Se at its relaxed geometry, with properties calculated at the PBEsol level.

```
data_Si4Se
_cell_length_a 4.353
_cell_length_b 4.353
_cell_length_c 9.027
_cell_angle_alpha 90.00
_cell_angle_beta 90.00
_cell_angle_gamma 90.00
_symmetry_space_group_name_H-M 'I 4/m m m'
_symmetry_Int_Tables_number 139
_symmetry_space_group_name_Hall '-I 4 2'
loop_
_atom_site_label
_atom_site_type_symbol
_atom_site_fract_x
_atom_site_fract_y
_atom_site_fract_z
Si1 Si 0.000 0.000 0.128
Si2 Si 0.000 0.500 0.250
Se1 Se 0.000 0.000 0.500
```

Properties
V (A^3/atom): 17.105
Energy (Ry/atom): -0.3785